# CeHo2Te4 PBE optimized geometry
# E_form (uncorrected) (eV per atom): -1.36
# M_tot (Bohr magnetons per cell): 2.74
# Uncorrected energy (eV/atom): -5.313
data_CeHo2Te4
_chemical_formula_sum 'Ce2 Ho4 Te8'
_cell_length_a 4.324
_cell_length_b 7.468
_cell_length_c 14.937
_cell_angle_alpha 90.00
_cell_angle_beta 90.00
_cell_angle_gamma 106.83
_symmetry_space_group_name_H-M 'P 1'
_symmetry_Int_Tables_number 1
_symmetry_space_group_name_Hall 'P 1'
loop_
_atom_site_label
_atom_site_type_symbol
_atom_site_fract_x
_atom_site_fract_y
_atom_site_fract_z
_atom_site_occupancy
Ho1 Ho 0.132 0.264 0.066 1
Ho2 Ho 0.132 0.264 0.434 1
Ho3 Ho 0.868 0.736 0.566 1
Ho4 Ho 0.868 0.736 0.934 1
Ce1 Ce 0.621 0.243 0.750 1
Ce2 Ce 0.379 0.757 0.250 1
Te1 Te 0.774 0.548 0.121 1
Te2 Te 0.045 0.089 0.250 1
Te3 Te 0.774 0.548 0.379 1
Te4 Te 0.226 0.452 0.879 1
Te5 Te 0.226 0.452 0.621 1
Te6 Te 0.500 0.000 0.500 1
Te7 Te 0.500 0.000 0.000 1
Te8 Te 0.955 0.911 0.750 1


# CeHo2Te PBE optimized geometry
# E_form (uncorrected) (eV per atom): -0.44
# M_tot (Bohr magnetons per cell): 1.90
# Uncorrected energy (eV/atom): -4.997
data_CeHo2Te
_chemical_formula_sum 'Ce1 Ho2 Te1'
_cell_length_a 3.829
_cell_length_b 3.829
_cell_length_c 10.188
_cell_angle_alpha 79.17
_cell_angle_beta 79.17
_cell_angle_gamma 60.00
_symmetry_space_group_name_H-M 'P 1'
_symmetry_Int_Tables_number 1
_symmetry_space_group_name_Hall 'P 1'
loop_
_atom_site_label
_atom_site_type_symbol
_atom_site_fract_x
_atom_site_fract_y
_atom_site_fract_z
_atom_site_occupancy
Ho1 Ho 0.262 0.262 0.214 1
Ho2 Ho 0.072 0.072 0.785 1
Ce1 Ce 0.500 0.500 0.501 1
Te1 Te 0.667 0.667 0.000 1